CuTe2Br after structural relaxation, computed with PBE.

Output
For the calculated total energy, the calculation gives -11.5 eV/cell. For the energy relative to the elements, uncorrected, the calculation gives 130 meV/atom.

Cell lengths 3.5505, 3.5617, 7.8106 Å; angles 90.00, 90.00, 90.00 degrees
Atoms (fractional coordinates):
Cu: 0.0000 0.0000 0.0000
Te: 0.5000 0.5000 0.1830
Te: 0.5000 0.5000 0.8170
Br: 0.0000 0.0000 0.5000


NaLa2Eu after structural relaxation, computed with PBE.

Output
For the calculated total energy, the calculation gives -20.8 eV/cell. The excess energy over the best structure of this formula in the dataset is 0.000 eV per formula unit. The formation energy is 0.169 eV/atom.

Cell lengths 3.6480, 3.6480, 11.3745 Å; angles 90.00, 90.00, 90.00 degrees
Atoms (fractional coordinates):
Na: 0.0000 0.0000 0.0000
La: 0.5000 0.5000 0.2552
La: 0.5000 0.5000 0.7448
Eu: 0.0000 0.0000 0.5000


CaMgBr2 after structural relaxation, computed with PBE.

Output
For the calculated total energy, the calculation gives -10.7 eV/cell. For the energy relative to the elements, uncorrected, the calculation gives -929 meV/atom. The excess energy over the best structure of this formula in the dataset is 1.233 eV per formula unit.

Cell lengths 5.9518, 5.9518, 4.1278 Å; angles 108.99, 108.99, 101.81 degrees
Atoms (fractional coordinates):
Ca: 0.0000 0.0000 0.0000
Mg: 0.5000 0.5000 0.0000
Br: 0.0000 0.5000 0.0000
Br: 0.5000 0.0000 0.0000


Zn2CuSb after structural relaxation, computed with PBE.

Output
For the calculated total energy, the calculation gives -20.6 eV/cell. For the energy relative to the elements, uncorrected, the calculation gives 122 meV/atom.

Cell lengths 9.3453, 9.3453, 9.3453 Å; angles 154.54, 154.54, 36.31 degrees
Atoms (fractional coordinates):
Zn: 0.0611 0.6250 0.9361
Zn: 0.3750 0.3111 0.4361
Zn: 0.6889 0.1250 0.0639
Zn: 0.8750 0.9389 0.5639
Cu: 0.0000 0.0000 0.0000
Cu: 0.7500 0.2500 0.5000
Sb: 0.2500 0.7500 0.5000
Sb: 0.5000 0.5000 0.0000


LiSbSe2 after structural relaxation, computed with PBE.

Output
For the calculated total energy, the calculation gives -14.3 eV/cell. For the energy relative to the elements, uncorrected, the calculation gives -322 meV/atom.

Cell lengths 4.9287, 4.9287, 3.5931 Å; angles 90.00, 90.00, 90.00 degrees
Atoms (fractional coordinates):
Li: 0.0000 0.0000 0.0000
Sb: 0.5000 0.5000 0.0000
Se: 0.0000 0.5000 0.5000
Se: 0.5000 0.0000 0.5000


TmScAsP after structural relaxation, computed with PBE.

Output
For the calculated total energy, the calculation gives -26.7 eV/cell. The formation energy is -1.449 eV/atom.

Cell lengths 3.9321, 3.9321, 5.5191 Å; angles 90.00, 90.00, 90.00 degrees
Atoms (fractional coordinates):
Tm: 0.0000 0.0000 0.0000
Sc: 0.5000 0.5000 0.5000
As: 0.5000 0.5000 0.0000
P: 0.0000 0.0000 0.5000


NiPtAu2 after structural relaxation, computed with PBE.

Output
For the calculated total energy, the calculation gives -18.3 eV/cell. The excess energy over the best structure of this formula in the dataset is 0.000 eV per formula unit. The formation energy is 0.018 eV/atom.

Cell lengths 2.8330, 2.8330, 7.8453 Å; angles 90.00, 90.00, 90.00 degrees
Atoms (fractional coordinates):
Ni: 0.0000 0.0000 0.0000
Pt: 0.5000 0.5000 0.2110
Au: 0.0000 0.0000 0.4825
Au: 0.5000 0.5000 0.7664


Cs2Zn2Sn3 after structural relaxation, computed with PBE.

Output
For the calculated total energy, the calculation gives -16.9 eV/cell. The formation energy is -0.091 eV/atom.

Cell lengths 7.4792, 7.4792, 9.5075 Å; angles 125.59, 125.59, 35.02 degrees
Atoms (fractional coordinates):
Cs: 0.1249 0.1249 0.2655
Cs: 0.8751 0.8751 0.7345
Zn: 0.1371 0.1371 0.6943
Zn: 0.8629 0.8629 0.3057
Sn: 0.3382 0.3382 0.0481
Sn: 0.5000 0.5000 0.5000
Sn: 0.6618 0.6618 0.9519


Sr2CaIr after structural relaxation, computed with PBE.

Output
For the calculated total energy, the calculation gives -14.7 eV/cell. The excess energy over the best structure of this formula in the dataset is 0.467 eV per formula unit. The formation energy is -0.109 eV/atom.

Cell lengths 6.1407, 6.1407, 7.0987 Å; angles 114.87, 114.87, 38.38 degrees
Atoms (fractional coordinates):
Sr: 0.0000 0.0000 0.0000
Sr: 0.1755 0.1755 0.6798
Ca: 0.3460 0.3460 0.3063
Ir: 0.7153 0.7153 0.0094


Zr2Tl3CrTe6 after structural relaxation, computed with PBE.

Output
For the calculated total energy, the calculation gives -58.6 eV/cell. For the energy relative to the elements, uncorrected, the calculation gives -498 meV/atom.

Cell lengths 7.2339, 7.2339, 8.5779 Å; angles 98.04, 98.04, 119.98 degrees
Atoms (fractional coordinates):
Zr: 0.1641 0.8359 0.0000
Zr: 0.8359 0.1641 0.0000
Tl: 0.0000 0.0000 0.5000
Tl: 0.3270 0.6730 0.5000
Tl: 0.6730 0.3270 0.5000
Cr: 0.5000 0.5000 0.0000
Te: 0.1108 0.4355 0.8015
Te: 0.2447 0.2447 0.2034
Te: 0.4355 0.1108 0.8015
Te: 0.5645 0.8892 0.1985
Te: 0.7553 0.7553 0.7966
Te: 0.8892 0.5645 0.1985


PmNdEr after structural relaxation, computed with PBE.

Output
For the calculated total energy, the calculation gives -14.0 eV/cell. The excess energy over the best structure of this formula in the dataset is 0.027 eV per formula unit. The formation energy is 0.026 eV/atom.

Cell lengths 3.6245, 3.6245, 9.0574 Å; angles 101.76, 101.76, 60.11 degrees
Atoms (fractional coordinates):
Pm: 0.0000 0.0000 0.0000
Nd: 0.5559 0.5559 0.6554
Er: 0.7775 0.7775 0.3261


HfZnN3 after structural relaxation, computed with PBE.

Output
For the calculated total energy, the calculation gives -32.4 eV/cell. For the energy relative to the elements, uncorrected, the calculation gives 753 meV/atom.

Cell lengths 4.1623, 4.1623, 4.1623 Å; angles 90.00, 90.00, 90.00 degrees
Atoms (fractional coordinates):
Hf: 0.0000 0.0000 0.0000
Zn: 0.5000 0.5000 0.5000
N: 0.0000 0.0000 0.5000
N: 0.0000 0.5000 0.0000
N: 0.5000 0.0000 0.0000


CsK2OF after structural relaxation, computed with PBE.

Output
For the calculated total energy, the calculation gives -36.1 eV/cell. For the energy relative to the elements, uncorrected, the calculation gives -1632 meV/atom.

Cell lengths 7.8193, 3.9177, 8.7259 Å; angles 90.00, 104.26, 90.00 degrees
Atoms (fractional coordinates):
Cs: 0.0076 0.2500 0.2858
Cs: 0.9924 0.7500 0.7142
K: 0.3468 0.7500 0.0407
K: 0.4227 0.7500 0.6527
K: 0.5773 0.2500 0.3473
K: 0.6532 0.2500 0.9593
O: 0.2798 0.2500 0.8254
O: 0.7202 0.7500 0.1746
F: 0.3200 0.7500 0.3395
F: 0.6800 0.2500 0.6605


HfAsBr2 after structural relaxation, computed with PBE.

Output
For the calculated total energy, the calculation gives -19.3 eV/cell. For the energy relative to the elements, uncorrected, the calculation gives -344 meV/atom. The excess energy over the best structure of this formula in the dataset is 0.465 eV per formula unit.

Cell lengths 11.7436, 11.7436, 11.7436 Å; angles 16.13, 16.13, 16.13 degrees
Atoms (fractional coordinates):
Hf: 0.0000 0.0000 0.0000
As: 0.5000 0.5000 0.5000
Br: 0.3897 0.3897 0.3897
Br: 0.6103 0.6103 0.6103


TbEu2Pb after structural relaxation, computed with PBE.

Output
For the calculated total energy, the calculation gives -29.6 eV/cell. The excess energy over the best structure of this formula in the dataset is 0.464 eV per formula unit. The formation energy is -0.175 eV/atom.

Cell lengths 4.3492, 4.3492, 7.0265 Å; angles 90.00, 90.00, 90.00 degrees
Atoms (fractional coordinates):
Tb: 0.0000 0.0000 0.0000
Eu: 0.5000 0.5000 0.2673
Eu: 0.5000 0.5000 0.7327
Pb: 0.0000 0.0000 0.5000


Co2AsPb after structural relaxation, computed with PBE.

Output
For the calculated total energy, the calculation gives -21.8 eV/cell. The excess energy over the best structure of this formula in the dataset is 0.299 eV per formula unit. The formation energy is 0.189 eV/atom.

Cell lengths 3.5413, 3.5413, 6.3147 Å; angles 90.00, 90.00, 90.00 degrees
Atoms (fractional coordinates):
Co: 0.0000 0.5000 0.0000
Co: 0.5000 0.0000 0.0000
As: 0.0000 0.0000 0.7666
Pb: 0.5000 0.5000 0.3276


La3Dy2Tm6 after structural relaxation, computed with PBE.

Output
For the calculated total energy, the calculation gives -50.5 eV/cell. The formation energy is 0.025 eV/atom.

Cell lengths 31.7550, 31.7550, 31.7550 Å; angles 6.46, 6.46, 6.46 degrees
Atoms (fractional coordinates):
La: 0.0000 0.0000 0.0000
La: 0.2719 0.2719 0.2719
La: 0.7281 0.7281 0.7281
Dy: 0.4554 0.4554 0.4554
Dy: 0.5446 0.5446 0.5446
Tm: 0.0924 0.0924 0.0924
Tm: 0.1814 0.1814 0.1814
Tm: 0.3641 0.3641 0.3641
Tm: 0.6359 0.6359 0.6359
Tm: 0.8186 0.8186 0.8186
Tm: 0.9076 0.9076 0.9076


TaCdIrRu after structural relaxation, computed with PBE.

Output
For the calculated total energy, the calculation gives -31.8 eV/cell. The formation energy is -0.217 eV/atom.

Cell lengths 4.5144, 4.5144, 4.5144 Å; angles 60.00, 60.00, 60.00 degrees
Atoms (fractional coordinates):
Ta: 0.0000 0.0000 0.0000
Cd: 0.5000 0.5000 0.5000
Ir: 0.7500 0.7500 0.7500
Ru: 0.2500 0.2500 0.2500


TcMoHOs2 after structural relaxation, computed with PBE.

Output
For the calculated total energy, the calculation gives -46.5 eV/cell. The excess energy over the best structure of this formula in the dataset is 0.101 eV per formula unit.

Cell lengths 3.9157, 3.9157, 3.9878 Å; angles 90.00, 90.00, 90.00 degrees
Atoms (fractional coordinates):
Tc: 0.0000 0.0000 0.0000
Mo: 0.5000 0.5000 0.0000
H: 0.5000 0.5000 0.5000
Os: 0.0000 0.5000 0.5000
Os: 0.5000 0.0000 0.5000


Li6Mg5Al2 after structural relaxation, computed with PBE.

Output
For the calculated total energy, the calculation gives -22.7 eV/cell. The formation energy is 0.326 eV/atom.

Cell lengths 8.0726, 8.0726, 8.0726 Å; angles 60.68, 60.68, 60.68 degrees
Atoms (fractional coordinates):
Li: 0.0000 0.3383 0.6617
Li: 0.0000 0.6617 0.3383
Li: 0.3383 0.0000 0.6617
Li: 0.3383 0.6617 0.0000
Li: 0.6617 0.0000 0.3383
Li: 0.6617 0.3383 0.0000
Mg: 0.0795 0.0795 0.0795
Mg: 0.2282 0.2282 0.2282
Mg: 0.5000 0.5000 0.5000
Mg: 0.7718 0.7718 0.7718
Mg: 0.9205 0.9205 0.9205
Al: 0.3636 0.3636 0.3636
Al: 0.6364 0.6364 0.6364


PrBiPtRh after structural relaxation, computed with PBE.

Output
For the calculated total energy, the calculation gives -24.1 eV/cell. The formation energy is -0.517 eV/atom.

Cell lengths 4.9864, 4.9864, 4.9864 Å; angles 60.00, 60.00, 60.00 degrees
Atoms (fractional coordinates):
Pr: 0.0000 0.0000 0.0000
Bi: 0.5000 0.5000 0.5000
Pt: 0.7500 0.7500 0.7500
Rh: 0.2500 0.2500 0.2500


AcGeS2 after structural relaxation, computed with PBE.

Output
For the calculated total energy, the calculation gives -89.1 eV/cell. For the energy relative to the elements, uncorrected, the calculation gives -1325 meV/atom. The excess energy over the best structure of this formula in the dataset is 0.000 eV per formula unit.

Cell lengths 9.7352, 9.7352, 7.2018 Å; angles 90.00, 90.00, 136.53 degrees
Atoms (fractional coordinates):
Ac: 0.1703 0.8297 0.9719
Ac: 0.3297 0.6703 0.4719
Ac: 0.6703 0.3297 0.5281
Ac: 0.8297 0.1703 0.0281
Ge: 0.0234 0.9766 0.3335
Ge: 0.4766 0.5234 0.8335
Ge: 0.5234 0.4766 0.1665
Ge: 0.9766 0.0234 0.6665
S: 0.0153 0.4847 0.7500
S: 0.1887 0.3114 0.2500
S: 0.3114 0.1887 0.7500
S: 0.4847 0.0153 0.2500
S: 0.5153 0.9847 0.7500
S: 0.6886 0.8114 0.2500
S: 0.8114 0.6886 0.7500
S: 0.9847 0.5153 0.2500


La2Tb2DyHo4 after structural relaxation, computed with PBE.

Output
For the calculated total energy, the calculation gives -42.0 eV/cell. The formation energy is 0.001 eV/atom.

Cell lengths 9.5485, 9.5485, 9.5955 Å; angles 115.22, 115.22, 21.83 degrees
Atoms (fractional coordinates):
La: 0.1652 0.1652 0.9996
La: 0.8348 0.8348 0.0004
Tb: 0.3530 0.3530 0.3379
Tb: 0.6470 0.6470 0.6621
Dy: 0.5000 0.5000 0.0000
Ho: 0.0200 0.0200 0.3360
Ho: 0.3146 0.3146 0.6621
Ho: 0.6854 0.6854 0.3379
Ho: 0.9800 0.9800 0.6640


K2AsOs after structural relaxation, computed with PBE.

Output
For the calculated total energy, the calculation gives -14.4 eV/cell. The formation energy is 0.913 eV/atom.

Cell lengths 4.0221, 4.0221, 5.4012 Å; angles 90.00, 90.00, 90.00 degrees
Atoms (fractional coordinates):
K: 0.0000 0.5000 0.0000
K: 0.5000 0.0000 0.0000
As: 0.0000 0.0000 0.5000
Os: 0.5000 0.5000 0.5000


CoPd3Pb after structural relaxation, computed with PBE.

Output
For the calculated total energy, the calculation gives -23.9 eV/cell. The excess energy over the best structure of this formula in the dataset is 0.000 eV per formula unit. The formation energy is 0.489 eV/atom.

Cell lengths 4.6540, 4.6540, 4.6540 Å; angles 90.00, 90.00, 90.00 degrees
Atoms (fractional coordinates):
Co: 0.0000 0.0000 0.0000
Pd: 0.0000 0.0000 0.5000
Pd: 0.0000 0.5000 0.0000
Pd: 0.5000 0.0000 0.0000
Pb: 0.5000 0.5000 0.5000


La2ReTe after structural relaxation, computed with PBE.

Output
For the calculated total energy, the calculation gives -25.9 eV/cell. For the energy relative to the elements, uncorrected, the calculation gives -119 meV/atom.

Cell lengths 5.5834, 5.5834, 5.5418 Å; angles 119.67, 119.67, 48.27 degrees
Atoms (fractional coordinates):
La: 0.2149 0.2149 0.2147
La: 0.7851 0.7851 0.7853
Re: 0.5000 0.5000 0.0000
Te: 0.0000 0.0000 0.5000


AcSmP after structural relaxation, computed with PBE.

Output
For the calculated total energy, the calculation gives -16.9 eV/cell. The formation energy is -0.882 eV/atom.

Cell lengths 4.1261, 4.1261, 6.9887 Å; angles 90.00, 90.00, 120.00 degrees
Atoms (fractional coordinates):
Ac: 0.0000 0.0000 0.0000
Sm: 0.6667 0.3333 0.5173
P: 0.3333 0.6667 0.7321